Entry 1
Computed, not measured: a relaxed TbP2Ru4 crystal at the PBE level of DFT.

It has space group Cmmm (No. 65), with a = 4.0254 Å, b = 13.3444 Å, c = 3.9819 Å, α = 90.00°, β = 90.00° and γ = 90.00°. The asymmetric unit holds Tb at (0.0000, 0.0000, 0.0000), P at (0.0000, 0.4114, 0.5000), Ru at (0.0000, 0.1782, 0.5000) and Ru at (0.0000, 0.3177, 0.0000).

---

Entry 2
Computed, not measured: a relaxed TbP2Ru4 crystal at the PBE level of DFT.

It has space group P4_2/mnm (No. 136), with a = 7.4906 Å, b = 7.4906 Å, c = 3.7913 Å, α = 90.00°, β = 90.00° and γ = 90.00°. The asymmetric unit holds Tb at (0.0000, 0.0000, 0.0000), P at (0.2251, 0.2251, 0.5000) and Ru at (0.0738, 0.6642, 0.5000).

---

Q: What are the energies relative to the best structure? A: entry 1 51; entry 2 0, in meV/atom.

---

Entry 1
Computed, not measured: a relaxed TePRu2 crystal at the PBE level of DFT.

It has space group C2/m (No. 12), with a = 6.8675 Å, b = 3.0579 Å, c = 6.6342 Å, α = 90.00°, β = 101.21° and γ = 90.00°. The asymmetric unit holds Te at (0.0000, 0.0000, 0.0000), P at (0.0000, 0.5000, 0.5000) and Ru at (0.2384, 0.0000, 0.6738).

---

Entry 2
Computed, not measured: a relaxed TePRu2 crystal at the PBE level of DFT.

It has space group Fmmm (No. 69), with a = 5.7235 Å, b = 5.8851 Å, c = 8.2692 Å, α = 90.00°, β = 90.00° and γ = 90.00°. The asymmetric unit holds Te at (0.0000, 0.0000, 0.0000), P at (0.0000, 0.0000, 0.5000) and Ru at (0.0000, 0.2500, 0.2500).

---

Q: What are the energies relative to the best structure? A: entry 1 0; entry 2 582, in meV/atom.

---

Entry 1
Computed, not measured: a relaxed TePRu2 crystal at the PBE level of DFT.

It has space group P4/mmm (No. 123), with a = 4.3606 Å, b = 4.3606 Å, c = 3.2997 Å, α = 90.00°, β = 90.00° and γ = 90.00°. The asymmetric unit holds Te at (0.0000, 0.0000, 0.0000), P at (0.5000, 0.5000, 0.0000) and Ru at (0.0000, 0.5000, 0.5000).

---

Entry 2
Computed, not measured: a relaxed TePRu2 crystal at the PBE level of DFT.

It has space group Immm (No. 71), with a = 3.5282 Å, b = 5.2266 Å, c = 7.4016 Å, α = 90.00°, β = 90.00° and γ = 90.00°. The asymmetric unit holds Te at (0.0000, 0.0000, 0.0000), P at (0.0000, 0.0000, 0.5000) and Ru at (0.0000, 0.5000, 0.1922).

---

Q: What are the energies relative to the best structure? A: entry 1 84; entry 2 0, in meV/atom.